# 1
The following is a DFT calculation (PBE-GGA) of a relaxed La4Sm3Y5 crystal.

abc: 7.274 8.929 9.643
angles: 90.38 41.01 90.40
Sites, in units of the cell vectors:
1 La 0.170 0.834 0.830
2 La 0.830 0.166 0.170
3 La 0.082 0.170 0.668
4 Y 0.333 0.170 0.167
5 Y 0.745 0.501 0.002
6 Y 0.500 0.500 0.500
7 La 0.918 0.830 0.332
8 Sm 0.000 0.500 0.500
9 Y 0.667 0.830 0.833
10 Y 0.255 0.499 0.998
11 Sm 0.583 0.170 0.669
12 Sm 0.417 0.830 0.331


# 2
The following is a DFT calculation (PBE-GGA) of a relaxed LaSmY crystal.

abc: 4.253 4.253 11.470
angles: 90.00 90.00 90.00
Sites, in units of the cell vectors:
1 La 0.500 0.000 0.247
2 Y 0.500 0.000 0.577
3 Sm 0.000 0.500 0.074
4 Y 0.000 0.500 0.423
5 La 0.000 0.500 0.753
6 Sm 0.500 0.000 0.926


DFT formation energy readings, ordered: 0.3 0.3 eV per formula unit
D(E_F) readings, ordered: 1.596 2.280 states/eV/atom